# 1
The following is a DFT calculation (PBE) of an optimized crystal structure of TbPrMg2.

Values from the calculation:
Magnetic moment: 0.00 μB per atom
ΔH_f (0 K): -0.11 eV per atom
Crystal system: cubic
Mass density: 5056 kg/m3
E above lowest polymorph: 0 meV per atom

a b c (Å): 5.4495 5.4495 5.4495
angles (deg): 60.00 60.00 60.00
Closest atoms and distances in Å follow each position.
Element x y z (fractional)
Tb 0.0000 0.0000 0.0000  8 Mg 3.34
Mg 0.7500 0.7500 0.7500  4 Tb 3.34, 4 Pr 3.34
Mg 0.2500 0.2500 0.2500  4 Tb 3.34, 4 Pr 3.34
Pr 0.5000 0.5000 0.5000  8 Mg 3.34

=====

# 2
The following is a DFT calculation (PBE) of an optimized crystal structure of Dy3Si8Ir3.

Values from the calculation:
Magnetic moment: 0.00 μB per atom
Crystal system: monoclinic
Mass density: 8984 kg/m3
E above lowest polymorph: 0 meV per atom

a b c (Å): 4.1983 8.0332 8.3517
angles (deg): 62.44 75.44 74.85
Closest atoms and distances in Å follow each position.
Element x y z (fractional)
Ir 0.6540 0.7038 0.9881  5 Si 2.38-2.47
Ir 0.3460 0.2962 0.0119  5 Si 2.38-2.47
Ir 0.0000 0.5000 0.5000  6 Si 2.41-2.61
Si 0.5171 0.6626 0.3031  3 Ir 2.43-2.61, 1 Si 2.50
Si 0.1660 0.5540 0.1140  3 Ir 2.41-2.47
Si 0.4829 0.3374 0.6969  3 Ir 2.43-2.61, 1 Si 2.50
Si 0.8816 0.8416 0.3952  1 Ir 2.41, 2 Si 2.42
Si 0.1184 0.1584 0.6048  1 Ir 2.41, 2 Si 2.42
Si 0.3658 0.9971 0.2712  1 Ir 2.38, 3 Si 2.42-2.50
Si 0.8340 0.4460 0.8860  3 Ir 2.41-2.47
Si 0.6342 0.0029 0.7288  1 Ir 2.38, 3 Si 2.42-2.50
Dy 0.0000 0.0000 0.0000  8 Si 2.89-3.18, 4 Ir 3.14
Dy 0.2884 0.7481 0.6751  10 Si 2.94-3.21, 2 Ir 3.19
Dy 0.7116 0.2519 0.3249  10 Si 2.94-3.21, 2 Ir 3.19

=====

# 3
The following is a DFT calculation (PBE) of an optimized crystal structure of MnP3.

Values from the calculation:
Magnetic moment: 0.76 μB per atom
ΔH_f (0 K): 0.08 eV per atom
Crystal system: trigonal
Mass density: 4153 kg/m3
E above lowest polymorph: 237 meV per atom

a b c (Å): 4.2543 4.2543 4.2543
angles (deg): 109.54 109.54 109.54
Closest atoms and distances in Å follow each position.
Element x y z (fractional)
P 0.5000 0.5000 0.0000  4 P 2.45, 2 Mn 2.45
P 0.0000 0.5000 0.5000  2 Mn 2.45, 4 P 2.45
P 0.5000 0.0000 0.5000  4 P 2.45, 2 Mn 2.45
Mn 0.0000 0.0000 0.0000  6 P 2.45

=====

# 4
The following is a DFT calculation (PBE) of an optimized crystal structure of RuPt2.

Values from the calculation:
Magnetic moment: 0.00 μB per atom
ΔH_f (0 K): 0.02 eV per atom
Crystal system: orthorhombic
Mass density: 18080 kg/m3

a b c (Å): 2.7819 3.9131 4.7897
angles (deg): 114.11 106.88 90.00
Closest atoms and distances in Å follow each position.
Element x y z (fractional)
Pt 0.6640 0.6640 0.3280  7 Pt 2.72-2.79, 5 Ru 2.76-2.79
Pt 0.3360 0.3360 0.6720  7 Pt 2.72-2.79, 5 Ru 2.76-2.79
Ru 0.0000 0.0000 0.0000  10 Pt 2.76-2.79, 2 Ru 2.78

=====

Number 1: energy -3.26 eV/atom. Number 2: energy -6.67 eV/atom. Number 3: energy -6.27 eV/atom. Number 4: energy -7.10 eV/atom.